No. 1
Here is TaIn2P after structural relaxation from the Alexandria database. Energies are from PBE-GGA.

Cell and atoms, written as CIF:
```
data_TaIn2P
_symmetry_space_group_name_H-M 'P 1'
_symmetry_Int_Tables_number 1
_symmetry_space_group_name_Hall 'P 1'
_cell_length_a 7.8859
_cell_length_b 7.8859
_cell_length_c 7.8859
_cell_angle_alpha 152.78
_cell_angle_beta 156.14
_cell_angle_gamma 36.51
loop_
_atom_site_label
_atom_site_fract_x
_atom_site_fract_y
_atom_site_fract_z
In1 0.9288 0.9288 0.0000
Ta1 0.2500 0.7500 0.5000
In2 0.5712 0.5712 0.0000
P1 0.7500 0.2500 0.5000
```

Output
Space-group type: No. 71
Density: 8.1 Mg/m³
Total moment: 0.0 μB/f.u.
Energy of formation: 0.02 eV/f.u.

No. 2
Here is Li3DyHg3 after structural relaxation from the Alexandria database. Energies are from PBE-GGA.

Cell and atoms, written as CIF:
```
data_Li3DyHg3
_symmetry_space_group_name_H-M 'P 1'
_symmetry_Int_Tables_number 1
_symmetry_space_group_name_Hall 'P 1'
_cell_length_a 6.9760
_cell_length_b 6.9760
_cell_length_c 6.9760
_cell_angle_alpha 90.00
_cell_angle_beta 90.00
_cell_angle_gamma 90.00
loop_
_atom_site_label
_atom_site_fract_x
_atom_site_fract_y
_atom_site_fract_z
Hg1 0.5000 0.7500 0.0000
Hg2 0.5000 0.2500 0.0000
Dy1 0.5000 0.5000 0.5000
Li1 0.0000 0.7500 0.5000
Hg3 0.7500 0.0000 0.5000
Li2 0.2500 0.5000 0.0000
Li3 0.0000 0.2500 0.5000
Li4 0.5000 0.0000 0.2500
Hg4 0.0000 0.5000 0.7500
Dy2 0.0000 0.0000 0.0000
Li5 0.5000 0.0000 0.7500
Li6 0.7500 0.5000 0.0000
Hg5 0.2500 0.0000 0.5000
Hg6 0.0000 0.5000 0.2500
```

Output
Space-group type: No. 223
Density: 7.7 Mg/m³
Total moment: 0.0 μB/f.u.
Energy of formation: 0.41 eV/f.u.

No. 3
Here is CePm2Pr6Y after structural relaxation from the Alexandria database. Energies are from PBE-GGA.

Cell and atoms, written as CIF:
```
data_CePm2Pr6Y
_symmetry_space_group_name_H-M 'P 1'
_symmetry_Int_Tables_number 1
_symmetry_space_group_name_Hall 'P 1'
_cell_length_a 10.3205
_cell_length_b 7.2521
_cell_length_c 6.8661
_cell_angle_alpha 121.88
_cell_angle_beta 119.54
_cell_angle_gamma 90.00
loop_
_atom_site_label
_atom_site_fract_x
_atom_site_fract_y
_atom_site_fract_z
Y1 0.5000 0.0000 0.0000
Pr1 0.8044 0.4684 0.3751
Pr2 0.5550 0.3380 0.6759
Pm1 0.8283 0.9743 0.9485
Ce1 0.0000 0.5000 0.0000
Pr3 0.1956 0.0933 0.6249
Pr4 0.1956 0.5316 0.6249
Pr5 0.8044 0.9067 0.3751
Pm2 0.1717 0.0257 0.0515
Pr6 0.4450 0.6620 0.3241
```

Output
Space-group type: No. 12
Density: 6.4 Mg/m³
Total moment: 1.1 μB/f.u.
Energy of formation: 2.29 eV/f.u.

No. 4
Here is Bi7SbPb12 after structural relaxation from the Alexandria database. Energies are from PBE-GGA.

Cell and atoms, written as CIF:
```
data_Bi7SbPb12
_symmetry_space_group_name_H-M 'P 1'
_symmetry_Int_Tables_number 1
_symmetry_space_group_name_Hall 'P 1'
_cell_length_a 9.5848
_cell_length_b 9.5848
_cell_length_c 9.5848
_cell_angle_alpha 109.11
_cell_angle_beta 109.11
_cell_angle_gamma 109.11
loop_
_atom_site_label
_atom_site_fract_x
_atom_site_fract_y
_atom_site_fract_z
Pb1 0.6466 0.8800 0.2307
Bi1 0.3691 0.0458 0.0831
Bi2 0.5000 0.5000 0.5000
Pb2 0.5320 0.8519 0.5292
Pb3 0.7693 0.3534 0.1200
Pb4 0.2307 0.6466 0.8800
Pb5 0.1481 0.4708 0.4680
Pb6 0.8519 0.5292 0.5320
Bi3 0.6309 0.9542 0.9169
Pb7 0.4680 0.1481 0.4708
Sb1 0.0000 0.0000 0.0000
Bi4 0.9169 0.6309 0.9542
Pb8 0.5292 0.5320 0.8519
Bi5 0.0831 0.3691 0.0458
Pb9 0.8800 0.2307 0.6466
Pb10 0.4708 0.4680 0.1481
Pb11 0.3534 0.1200 0.7693
Pb12 0.1200 0.7693 0.3534
Bi6 0.0458 0.0831 0.3691
Bi7 0.9542 0.9169 0.6309
```

Output
Space-group type: No. 148
Density: 9.8 Mg/m³
Raw formation energy: 0.104 eV/atom
Total moment: 0.0 μB/f.u.

No. 5
Here is CdCo after structural relaxation from the Alexandria database. Energies are from PBE-GGA.

Cell and atoms, written as CIF:
```
data_CdCo
_symmetry_space_group_name_H-M 'P 1'
_symmetry_Int_Tables_number 1
_symmetry_space_group_name_Hall 'P 1'
_cell_length_a 4.4594
_cell_length_b 4.4594
_cell_length_c 4.4594
_cell_angle_alpha 60.00
_cell_angle_beta 60.00
_cell_angle_gamma 60.00
loop_
_atom_site_label
_atom_site_fract_x
_atom_site_fract_y
_atom_site_fract_z
Co1 0.2500 0.2500 0.2500
Cd1 0.0000 0.0000 0.0000
Co2 0.5000 0.5000 0.5000
Cd2 0.7500 0.7500 0.7500
```

Output
Space-group type: No. 227
Density: 9.1 Mg/m³
Total moment: 1.6 μB/f.u.
Energy of formation: 0.82 eV/f.u.

No. 6
Here is Pm12Ni6N after structural relaxation from the Alexandria database. Energies are from PBE-GGA.

Cell and atoms, written as CIF:
```
data_Pm12Ni6N
_symmetry_space_group_name_H-M 'P 1'
_symmetry_Int_Tables_number 1
_symmetry_space_group_name_Hall 'P 1'
_cell_length_a 7.9685
_cell_length_b 7.9685
_cell_length_c 7.9685
_cell_angle_alpha 96.51
_cell_angle_beta 96.51
_cell_angle_gamma 96.51
loop_
_atom_site_label
_atom_site_fract_x
_atom_site_fract_y
_atom_site_fract_z
Pm1 0.5754 0.1864 0.4078
Ni1 0.6183 0.3036 0.1181
Ni2 0.3817 0.6964 0.8819
Pm2 0.0892 0.9562 0.3051
Pm3 0.5922 0.4246 0.8136
Pm4 0.8136 0.5922 0.4246
Pm5 0.0438 0.6949 0.9108
N1 0.0000 0.0000 0.0000
Ni3 0.8819 0.3817 0.6964
Pm6 0.6949 0.9108 0.0438
Pm7 0.4078 0.5754 0.1864
Pm8 0.9562 0.3051 0.0892
Ni4 0.6964 0.8819 0.3817
Pm9 0.9108 0.0438 0.6949
Pm10 0.3051 0.0892 0.9562
Ni5 0.1181 0.6183 0.3036
Pm11 0.1864 0.4078 0.5754
Ni6 0.3036 0.1181 0.6183
Pm12 0.4246 0.8136 0.5922
```

Output
Space-group type: No. 148
Density: 7.1 Mg/m³
Raw formation energy: -0.266 eV/atom
Total moment: 0.0 μB/f.u.